Entry 1:
# Mg3Hg

A crystal of Mg3Hg relaxed with PBEsol (SCAN, Alexandria). Values from VASP.

Geometry as Quantum ESPRESSO input:
```
&SYSTEM
  ibrav = 0, nat = 24, ntyp = 2
/
ATOMIC_SPECIES
Mg 24.30 Mg.upf
Hg 200.59 Hg.upf
CELL_PARAMETERS angstrom
8.305 0.000 0.000
-4.153 7.193 0.000
0.000 0.000 8.609
ATOMIC_POSITIONS crystal
Mg 0.000 0.000 0.249
Mg 0.000 0.000 0.749
Mg 0.000 0.275 0.000
Mg 0.000 0.376 0.341
Mg 0.000 0.624 0.841
Mg 0.000 0.725 0.500
Mg 0.275 0.000 0.000
Mg 0.275 0.275 0.500
Mg 0.333 0.667 0.113
Mg 0.333 0.667 0.613
Mg 0.376 0.000 0.341
Mg 0.376 0.376 0.841
Mg 0.624 0.000 0.841
Mg 0.624 0.624 0.341
Mg 0.667 0.333 0.113
Mg 0.667 0.333 0.613
Mg 0.725 0.000 0.500
Mg 0.725 0.725 0.000
Hg 0.000 0.329 0.672
Hg 0.000 0.671 0.172
Hg 0.329 0.000 0.672
Hg 0.329 0.329 0.172
Hg 0.671 0.000 0.172
Hg 0.671 0.671 0.672
```

Properties
Final energy ... -21.086 eV per atom
SG ... No. 185
V ... 85.7 Å³/f.u.
ΔE_f ... -0.3140 eV per atom

Entry 2:
# KMnNi

A crystal of KMnNi relaxed with PBEsol (SCAN, Alexandria). Values from VASP.

Geometry as Quantum ESPRESSO input:
```
&SYSTEM
  ibrav = 0, nat = 3, ntyp = 3
/
ATOMIC_SPECIES
K 39.10 K.upf
Mn 54.94 Mn.upf
Ni 58.69 Ni.upf
CELL_PARAMETERS angstrom
4.809 0.000 0.000
-2.405 4.165 0.000
0.000 0.000 2.797
ATOMIC_POSITIONS crystal
K 0.000 0.000 0.000
Mn 0.333 0.667 0.449
Ni 0.667 0.333 0.587
```

Properties
ΔE to the lowest computed polymorph ... 483 meV/atom
Final energy ... -13.358 eV per atom
SG ... No. 156
V ... 56.0 Å³/f.u.
ΔE_f ... 0.8942 eV per atom

Entry 3:
# ZnCd2Os

A crystal of ZnCd2Os relaxed with PBEsol (SCAN, Alexandria). Values from VASP.

Geometry as Quantum ESPRESSO input:
```
&SYSTEM
  ibrav = 0, nat = 4, ntyp = 3
/
ATOMIC_SPECIES
Zn 65.41 Zn.upf
Cd 112.41 Cd.upf
Os 190.23 Os.upf
CELL_PARAMETERS angstrom
2.753 0.000 0.000
0.000 4.026 0.000
0.000 0.000 6.027
ATOMIC_POSITIONS crystal
Zn 0.000 0.000 0.000
Cd 0.000 0.000 0.555
Cd 0.500 0.500 0.282
Os 0.500 0.500 0.818
```

Properties
Final energy ... -36.179 eV per atom
SG ... No. 25
V ... 66.8 Å³/f.u.
ΔE_f ... 0.3768 eV per atom

Entry 4:
# Ta2CrIr

A crystal of Ta2CrIr relaxed with PBEsol (SCAN, Alexandria). Values from VASP.

Geometry as Quantum ESPRESSO input:
```
&SYSTEM
  ibrav = 0, nat = 4, ntyp = 3
/
ATOMIC_SPECIES
Ta 180.95 Ta.upf
Cr 52.00 Cr.upf
Ir 192.22 Ir.upf
CELL_PARAMETERS angstrom
2.765 0.000 0.000
0.000 4.415 0.000
-0.979 0.000 4.979
ATOMIC_POSITIONS crystal
Ta 0.000 0.000 0.000
Ta 0.257 0.500 0.713
Cr 0.762 0.500 0.202
Ir 0.536 0.000 0.488
```

Properties
Final energy ... -55.886 eV per atom
SG ... No. 6
V ... 60.8 Å³/f.u.
ΔE_f ... -0.2233 eV per atom

Entry 5:
# CdInAg2

A crystal of CdInAg2 relaxed with PBEsol (SCAN, Alexandria). Values from VASP.

Geometry as Quantum ESPRESSO input:
```
&SYSTEM
  ibrav = 0, nat = 4, ntyp = 3
/
ATOMIC_SPECIES
Cd 112.41 Cd.upf
In 114.82 In.upf
Ag 107.87 Ag.upf
CELL_PARAMETERS angstrom
3.104 0.000 0.000
0.000 3.944 0.000
0.000 0.000 6.093
ATOMIC_POSITIONS crystal
Cd 0.000 0.000 0.000
In 0.000 0.000 0.500
Ag 0.500 0.500 0.244
Ag 0.500 0.500 0.756
```

Properties
Final energy ... -31.636 eV per atom
SG ... No. 47
V ... 74.6 Å³/f.u.
ΔE_f ... -0.0027 eV per atom

Entry 6:
# CoRuN2

A crystal of CoRuN2 relaxed with PBEsol (SCAN, Alexandria). Values from VASP.

Geometry as Quantum ESPRESSO input:
```
&SYSTEM
  ibrav = 0, nat = 8, ntyp = 3
/
ATOMIC_SPECIES
Co 58.93 Co.upf
Ru 101.07 Ru.upf
N 14.01 N.upf
CELL_PARAMETERS angstrom
-2.170 2.170 4.363
2.170 -2.170 4.363
2.170 2.170 -4.363
ATOMIC_POSITIONS crystal
Co 0.000 0.000 0.000
Co 0.750 0.250 0.500
Ru 0.250 0.750 0.500
Ru 0.500 0.500 0.000
N 0.107 0.625 0.982
N 0.375 0.357 0.482
N 0.643 0.125 0.018
N 0.875 0.893 0.518
```

Properties
Final energy ... -17.575 eV per atom
SG ... No. 122
V ... 41.1 Å³/f.u.
Uncorrected formation energy ... 0.103 eV/atom

Entry 7:
# HfBe2Ru2

A crystal of HfBe2Ru2 relaxed with PBEsol (SCAN, Alexandria). Values from VASP.

Geometry as Quantum ESPRESSO input:
```
&SYSTEM
  ibrav = 0, nat = 10, ntyp = 3
/
ATOMIC_SPECIES
Hf 178.49 Hf.upf
Be 9.01 Be.upf
Ru 101.07 Ru.upf
CELL_PARAMETERS angstrom
6.383 0.000 0.000
0.000 6.383 0.000
0.000 0.000 3.009
ATOMIC_POSITIONS crystal
Hf 0.000 0.000 0.000
Hf 0.500 0.500 0.000
Be 0.116 0.384 0.000
Be 0.384 0.884 0.000
Be 0.616 0.116 0.000
Be 0.884 0.616 0.000
Ru 0.170 0.670 0.500
Ru 0.330 0.170 0.500
Ru 0.670 0.830 0.500
Ru 0.830 0.330 0.500
```

Properties
Final energy ... -28.839 eV per atom
SG ... No. 127
V ... 61.3 Å³/f.u.
ΔE_f ... -0.6320 eV per atom

Entry 8:
# EuSb2Pd2

A crystal of EuSb2Pd2 relaxed with PBEsol (SCAN, Alexandria). Values from VASP.

Geometry as Quantum ESPRESSO input:
```
&SYSTEM
  ibrav = 0, nat = 10, ntyp = 3
/
ATOMIC_SPECIES
Eu 151.96 Eu.upf
Sb 121.76 Sb.upf
Pd 106.42 Pd.upf
CELL_PARAMETERS angstrom
4.576 0.000 0.000
0.000 4.576 0.000
0.000 0.000 10.593
ATOMIC_POSITIONS crystal
Eu 0.250 0.250 0.241
Eu 0.750 0.750 0.759
Sb 0.250 0.250 0.872
Sb 0.250 0.750 0.500
Sb 0.750 0.250 0.500
Sb 0.750 0.750 0.128
Pd 0.250 0.250 0.630
Pd 0.250 0.750 0.000
Pd 0.750 0.250 0.000
Pd 0.750 0.750 0.370
```

Properties
Final energy ... -39.637 eV per atom
SG ... No. 129
V ... 110.9 Å³/f.u.
Uncorrected formation energy ... -0.881 eV/atom

The lowest final energy belongs to which entry? Ta2CrIr